1.
Density functional theory data (PBE-GGA) for SrPm3 after structural relaxation.

For the total energy, the calculation gives -3.8267 eV/atom. Its crystal system is hexagonal.

It has space group P6_3/mmc (No. 194), with a = 7.6343 Å, b = 7.6343 Å, c = 6.0188 Å, α = 90.00°, β = 90.00° and γ = 120.00°. The asymmetric unit holds Sr at (0.3333, 0.6667, 0.2500) and Pm at (0.1598, 0.3196, 0.7500).

---

2.
Density functional theory data (PBE-GGA) for Sr2Pm after structural relaxation.

The polymorph energy (0 for the lowest one) comes out at 13 meV/atom. For the total energy, the calculation gives -2.5499 eV/atom. Its crystal system is tetragonal.

It has space group I4/mmm (No. 139), with a = 3.979 Å, b = 3.979 Å, c = 17.213 Å, α = 90.00°, β = 90.00° and γ = 90.00°. The asymmetric unit holds Sr at (0.000, 0.000, 0.156) and Pm at (0.000, 0.000, 0.500).

---

3.
Density functional theory data (PBE-GGA) for SrPm3 after structural relaxation.

For the total energy, the calculation gives -3.8513 eV/atom. Its crystal system is orthorhombic.

It has space group Imm2 (No. 44), with a = 3.776 Å, b = 12.148 Å, c = 6.592 Å, α = 90.00°, β = 90.00° and γ = 90.00°. The asymmetric unit holds Sr at (0.000, 0.000, 0.000), Pm at (0.000, 0.239, 0.658) and Pm at (0.000, 0.500, 0.997).

---

4.
Density functional theory data (PBE-GGA) for SrPm3 after structural relaxation.

For the total energy, the calculation gives -3.7575 eV/atom. Its crystal system is cubic.

It has space group Fm-3m (No. 225), with a = 8.457 Å, b = 8.457 Å, c = 8.457 Å, α = 90.00°, β = 90.00° and γ = 90.00°. The asymmetric unit holds Sr at (0.000, 0.000, 0.000), Pm at (0.000, 0.000, 0.500) and Pm at (0.250, 0.250, 0.250).

---

5.
Density functional theory data (PBE-GGA) for SrPm6 after structural relaxation.

For the total energy, the calculation gives -3.2314 eV/atom. Its crystal system is cubic.

It has space group Im-3m (No. 229), with a = 8.326 Å, b = 8.326 Å, c = 8.326 Å, α = 90.00°, β = 90.00° and γ = 90.00°. The asymmetric unit holds Sr at (0.000, 0.000, 0.000) and Pm at (0.000, 0.250, 0.500).

---

6.
Density functional theory data (PBE-GGA) for Sr4Pm after structural relaxation.

For the total energy, the calculation gives -1.7625 eV/atom. Its crystal system is cubic.

It has space group Pm-3m (No. 221), with a = 6.466 Å, b = 6.466 Å, c = 6.466 Å, α = 90.00°, β = 90.00° and γ = 90.00°. The asymmetric unit holds Sr at (0.000, 0.000, 0.000), Sr at (0.000, 0.500, 0.500) and Pm at (0.500, 0.500, 0.500).

---

Computed values of formation energy (unit: eV per atom) for the preceding records, in sequence: 0.16 0.15 0.13 0.23 1.08 0.53.